A plane-wave DFT calculation with GGA-PBE was carried out for a geometry-optimized Nb3HN structure.

Cell and atoms, written as POSCAR:
```
Nb3HN
1.0
4.2053 0.0000 0.0000
0.0000 4.2053 0.0000
0.0000 0.0000 4.2053
Nb H N
3 1 1
Direct
0.0000 0.0000 0.5000
0.0000 0.5000 0.0000
0.5000 0.0000 0.0000
0.5000 0.5000 0.5000
0.0000 0.0000 0.0000
```

- DOS(E_F): 1.1659 states/eV/atom
- ρ: 6.559 g/cm³
- Energy above the most stable polymorph in this dataset: 852 meV/atom